Density functional theory data (PBE) for an optimized crystal structure of Cs2Au2O5.

abc: 9.7423 4.0299 4.0299
angles: 90.00 90.00 90.00
Fractional coordinates of all 9 atoms:
Au (0.2781, 0.5000, 0.5000)
Au (0.7219, 0.5000, 0.5000)
Cs (0.0000, 0.0000, 0.0000)
Cs (0.5000, 0.0000, 0.0000)
O (0.2318, 0.5000, 0.0000)
O (0.7682, 0.5000, 0.0000)
O (0.2318, 0.0000, 0.5000)
O (0.7682, 0.0000, 0.5000)
O (0.5000, 0.5000, 0.5000)

Values from the calculation:
- energy above the lowest structure with this stoichiometry (meV/atom) = 0